1.
# YAl2Si

Crystalline YAl2Si at its relaxed geometry (PBE-GGA, Alexandria).

Unit cell a=5.7630 b=10.3146 c=3.2487 alpha=90.00 beta=123.08 gamma=90.00
Space group C2/m (No. 12)
Asymmetric unit:
1 Y 0.0000 0.0000 0.0000 (multiplicity 2)
2 Al 0.2500 0.2500 0.0000 (multiplicity 4)
3 Si 0.0000 0.5000 0.0000 (multiplicity 2)

=====

2.
# YAl2Si

Crystalline YAl2Si at its relaxed geometry (PBE-GGA, Alexandria).

Unit cell a=3.4709 b=3.4709 c=6.4461 alpha=90.00 beta=90.00 gamma=90.00
Space group P4mm (No. 99)
Asymmetric unit:
1 Y 0.0000 0.0000 0.0000 (multiplicity 1)
2 Al 0.0000 0.0000 0.5193 (multiplicity 1)
3 Al 0.5000 0.5000 0.3070 (multiplicity 1)
4 Si 0.5000 0.5000 0.7076 (multiplicity 1)

=====

3.
# YAlSi2

Crystalline YAlSi2 at its relaxed geometry (PBE-GGA, Alexandria).

Unit cell a=3.1575 b=4.4609 c=5.3337 alpha=90.00 beta=90.00 gamma=90.00
Space group Pmmm (No. 47)
Asymmetric unit:
1 Y 0.0000 0.0000 0.0000 (multiplicity 1)
2 Al 0.5000 0.0000 0.5000 (multiplicity 1)
3 Si 0.5000 0.5000 0.2406 (multiplicity 2)

=====

We obtain total magnetic moment values of 0.000, 0.034, 0.000 μB per cell for the records listed above, in that order.
We obtain E values of -4.9634, -5.0820, -5.5292 eV per atom for the records listed above, in that order.